## 1
PmTl2Ga PBE relaxed; D(E_F) = 2.16 states/eV per cell; calculated volume = 118 Å³ per cell
1.0
3.493 0.000 0.000
1.746 3.025 0.000
1.746 1.008 11.210
Tl Ga Pm
2 1 1
direct
0.095 0.095 0.715
0.905 0.905 0.285
0.500 0.500 0.500
0.000 0.000 0.000

---

## 2
PmTl2Ga PBE relaxed; D(E_F) = 1.76 states/eV per cell; calculated volume = 102 Å³ per cell
1.0
-2.620 -2.991 -2.631
0.254 -3.181 3.363
-3.865 1.708 1.907
Ga Tl Pm
1 2 1
direct
0.500 0.000 0.000
0.000 0.500 0.000
0.000 0.000 0.500
0.500 0.500 0.500

---

Energies relative to the minimum, meV/atom: 1 469; 2 0